! SmNiO3 (GGA+U, optimized geometry); values from VASP
&SYSTEM
  ibrav = 0, nat = 5, ntyp = 3
/
ATOMIC_SPECIES
Sm 150.36 Sm.upf
Ni 58.69 Ni.upf
O 16.00 O.upf
CELL_PARAMETERS angstrom
3.7950 0.0000 0.0000
0.0000 3.7950 0.0000
0.0000 0.0000 3.7950
ATOMIC_POSITIONS angstrom
Sm 0.0000 0.0000 0.0000
Ni 1.8975 1.8975 1.8975
O 0.0000 1.8975 1.8975
O 1.8975 0.0000 1.8975
O 1.8975 1.8975 0.0000
! Space-group type: Pm-3m, No. 221
! M_tot, μB/cell: 0.998
! Volume, A^3/atom: 10.93
! DFT total energy, eV/f.u.: -32.2
! Crystal system: cubic